Material: CdMoIr2
Method: DFT, SCAN
State: PBEsol geometry

Geometry as extended XYZ:
```
4
Lattice="-0.792 -2.431 -1.004 2.500 -0.370 -1.077 2.437 -3.648 6.908" Properties=species:S:1:pos:R:3 pbc="T T T"
Cd 2.701 -4.166 4.196
Ir 0.039 -0.058 0.110
Ir 1.455 -2.300 0.663
Mo 1.168 -1.749 3.312
```

Calculated values
DFT total energy = -51.7197 eV/atom


Material: CdMo2Ir
Method: DFT, SCAN
State: PBEsol geometry

Geometry as extended XYZ:
```
4
Lattice="3.150 0.000 0.000 0.000 3.150 0.000 0.000 0.000 6.476" Properties=species:S:1:pos:R:3 pbc="T T T"
Cd 0.000 0.000 3.263
Ir 1.575 1.575 4.972
Mo 0.000 0.000 0.060
Mo 1.575 1.575 1.418
```

Calculated values
DFT total energy = -42.5707 eV/atom


Material: CdMoIr
Method: DFT, SCAN
State: PBEsol geometry

Geometry as extended XYZ:
```
3
Lattice="4.289 0.000 0.000 2.144 3.714 0.000 2.144 1.238 3.502" Properties=species:S:1:pos:R:3 pbc="T T T"
Cd 4.289 2.476 1.751
Ir 2.144 1.238 0.875
Mo 0.000 0.000 0.000
```

Calculated values
ΔE to the lowest computed polymorph = 0.000 eV per atom


Material: CdMo2Ir
Method: DFT, SCAN
State: PBEsol geometry

Geometry as extended XYZ:
```
4
Lattice="-2.516 -1.107 -1.126 -1.354 -1.320 4.321 -0.122 5.281 -1.000" Properties=species:S:1:pos:R:3 pbc="T T T"
Cd -1.946 -1.192 1.601
Ir -1.790 1.539 2.484
Mo -0.020 0.039 0.006
Mo -2.172 1.255 -0.297
```

Calculated values
DFT total energy = -42.5575 eV/atom


Material: CdMoIr2
Method: DFT, SCAN
State: PBEsol geometry

Geometry as extended XYZ:
```
4
Lattice="4.452 0.000 0.000 2.226 3.855 0.000 2.226 1.285 3.635" Properties=species:S:1:pos:R:3 pbc="T T T"
Cd 0.000 0.000 0.000
Ir 2.226 1.285 0.909
Ir 6.677 3.855 2.726
Mo 4.452 2.570 1.817
```

Calculated values
DFT total energy = -51.6091 eV/atom


Material: CdMo2Ir
Method: DFT, SCAN
State: PBEsol geometry

Geometry as extended XYZ:
```
4
Lattice="2.917 0.000 0.000 0.000 4.634 0.010 -1.458 -1.097 4.677" Properties=species:S:1:pos:R:3 pbc="T T T"
Cd 1.458 0.000 0.000
Ir 0.000 2.317 0.005
Mo 0.000 0.706 2.438
Mo 1.458 2.831 2.249
```

Calculated values
DFT total energy = -42.5805 eV/atom


Material: CdIrS2N
Method: DFT, SCAN
State: PBEsol geometry

Geometry as extended XYZ:
```
5
Lattice="-3.189 -1.719 0.202 1.629 -3.387 -3.113 1.663 -2.645 3.749" Properties=species:S:1:pos:R:3 pbc="T T T"
N -1.595 -0.859 0.101
S 0.831 -1.323 1.874
S 0.814 -1.694 -1.556
Ir 0.000 0.000 0.000
Cd 0.051 -3.876 0.419
```

Calculated values
energy relative to the elements, uncorrected = 0.279 eV per atom


Material: CdIrSeN2
Method: DFT, SCAN
State: PBEsol geometry

Geometry as extended XYZ:
```
5
Lattice="3.791 0.000 0.000 0.000 3.791 0.000 0.000 0.000 5.578" Properties=species:S:1:pos:R:3 pbc="T T T"
N 0.000 1.895 0.000
N 1.895 0.000 0.000
Ir 0.000 0.000 0.000
Se 0.000 0.000 2.789
Cd 1.895 1.895 2.789
```

Calculated values
energy relative to the elements, uncorrected = 0.608 eV per atom


Material: Na3Cd2IrO6
Method: DFT, SCAN
State: PBEsol geometry

Geometry as extended XYZ:
```
12
Lattice="-1.895 3.490 -4.016 -3.999 -4.051 -0.235 0.152 3.576 4.432" Properties=species:S:1:pos:R:3 pbc="T T T"
Na -2.871 1.507 0.091
Na -4.256 -1.037 -1.467
Na -1.486 4.052 1.648
Cd -2.618 -1.513 1.318
Cd -1.229 1.038 2.880
Ir 0.000 0.000 0.000
O -2.348 2.667 -2.269
O -3.394 0.348 2.451
O -5.108 1.260 -0.538
O -1.839 -0.459 -0.635
O -3.903 3.474 0.817
O -0.634 1.755 0.719
```

Calculated values
energy relative to the elements, uncorrected = -1.371 eV per atom


Material: CdNi2Ir
Method: DFT, SCAN
State: PBEsol geometry

Geometry as extended XYZ:
```
4
Lattice="3.906 0.000 0.000 -1.953 3.999 0.002 0.000 1.906 3.409" Properties=species:S:1:pos:R:3 pbc="T T T"
Cd 1.953 0.953 1.705
Ir 0.000 0.000 0.000
Ni 0.000 2.476 0.853
Ni 1.953 3.429 2.558
```

Calculated values
DFT total energy = -33.2517 eV/atom


Material: Cd2NiIr
Method: DFT, SCAN
State: PBEsol geometry

Geometry as extended XYZ:
```
4
Lattice="-1.447 -2.609 1.243 -0.057 -1.858 -3.968 3.918 -1.799 0.786" Properties=species:S:1:pos:R:3 pbc="T T T"
Cd 1.959 -0.899 0.393
Cd -0.029 -0.929 -1.984
Ir 1.207 -3.133 -0.970
Ni -0.724 -1.304 0.621
```

Calculated values
DFT total energy = -36.8128 eV/atom


Material: Cd2NiIr
Method: DFT, SCAN
State: PBEsol geometry

Geometry as extended XYZ:
```
4
Lattice="2.853 0.000 -0.035 0.000 4.287 0.000 -1.330 0.000 5.215" Properties=species:S:1:pos:R:3 pbc="T T T"
Cd -1.161 0.000 5.031
Cd 1.640 2.143 1.462
Ir 0.231 0.000 2.623
Ni 0.245 2.143 3.869
```

Calculated values
DFT total energy = -36.8052 eV/atom


Material: Cd2NiIr
Method: DFT, SCAN
State: PBEsol geometry

Geometry as extended XYZ:
```
4
Lattice="-3.234 1.730 1.700 -1.570 -3.653 0.730 4.136 0.890 2.154" Properties=species:S:1:pos:R:3 pbc="T T T"
Cd -0.750 0.829 2.535
Cd 0.082 -1.862 2.050
Ir -2.402 -0.961 1.215
Ni 0.000 0.000 0.000
```

Calculated values
DFT total energy = -36.8188 eV/atom


Material: Cd2NiIr
Method: DFT, SCAN
State: PBEsol geometry

Geometry as extended XYZ:
```
4
Lattice="-1.534 -0.461 -2.351 -2.140 -1.874 0.043 -6.785 5.624 1.605" Properties=species:S:1:pos:R:3 pbc="T T T"
Cd -2.550 0.748 -0.204
Cd -7.909 2.541 -0.500
Ir -5.229 1.644 -0.352
Ni 0.000 0.000 0.000
```

Calculated values
DFT total energy = -36.7924 eV/atom


Material: CdNi2IrOs
Method: DFT, SCAN
State: PBEsol geometry

Geometry as extended XYZ:
```
5
Lattice="-2.201 2.580 -2.952 -3.821 -2.169 0.954 -0.909 3.084 3.372" Properties=species:S:1:pos:R:3 pbc="T T T"
Ni -1.911 -1.085 0.477
Ni -1.101 1.290 -1.476
Ir 0.000 0.000 0.000
Os -0.454 1.542 1.686
Cd -3.466 1.747 0.687
```

Calculated values
DFT total energy = -39.8123 eV/atom


Material: Cd3IrO
Method: DFT, SCAN
State: PBEsol geometry

Geometry as extended XYZ:
```
5
Lattice="-0.093 -2.947 -4.159 4.533 1.856 -1.416 2.332 -3.724 2.586" Properties=species:S:1:pos:R:3 pbc="T T T"
Ir 0.000 0.000 0.000
O 3.386 -2.408 -1.494
Cd 2.266 0.928 -0.708
Cd 1.166 -1.862 1.293
Cd -0.046 -1.474 -2.080
```

Calculated values
energy relative to the elements, uncorrected = 0.799 eV per atom


Material: Cd2Ir2O
Method: DFT, SCAN
State: PBEsol geometry

Geometry as extended XYZ:
```
5
Lattice="-0.969 -1.247 -3.067 -3.062 -0.880 1.325 -0.673 7.655 -0.960" Properties=species:S:1:pos:R:3 pbc="T T T"
Ir -2.875 2.856 -0.253
Ir -1.829 2.672 -2.449
O 0.000 0.000 0.000
Cd -2.199 5.392 -1.498
Cd -2.504 0.136 -1.204
```

Calculated values
energy relative to the elements, uncorrected = 0.296 eV per atom


Material: CdP2IrO
Method: DFT, SCAN
State: PBEsol geometry

Geometry as extended XYZ:
```
5
Lattice="-1.137 -3.544 -0.521 4.319 -1.602 1.475 -1.613 -0.152 4.557" Properties=species:S:1:pos:R:3 pbc="T T T"
P -0.807 -0.076 2.279
P 2.159 -0.801 0.738
Ir 0.784 -2.649 2.756
O -0.568 -1.772 -0.260
Cd 0.000 0.000 0.000
```

Calculated values
energy relative to the elements, uncorrected = 1.510 eV per atom


Material: Sr3CdIrO6
Method: DFT, SCAN
State: PBEsol geometry

Geometry as extended XYZ:
```
22
Lattice="-0.581 4.605 4.913 -6.380 1.215 -1.871 -2.174 -4.785 4.249" Properties=species:S:1:pos:R:3 pbc="T T T"
Sr -2.571 -1.666 4.884
Sr -3.154 3.389 3.435
Sr -6.564 2.701 2.408
Sr -5.693 -0.430 0.796
Sr -3.441 1.464 6.495
Sr -5.980 -2.354 3.857
Cd -2.284 0.259 1.823
Cd -6.851 0.776 5.468
Ir -4.567 0.517 3.646
Ir 0.000 0.000 0.000
O -6.395 2.050 -0.024
O -3.915 -3.802 3.913
O -1.705 3.113 5.701
O -2.609 0.819 4.072
O -4.236 1.546 1.930
O -3.977 -1.138 2.635
O -2.740 -1.015 7.315
O -5.220 4.837 3.378
O -7.430 -2.078 1.591
O -6.526 0.216 3.219
O -5.158 2.173 4.656
O -4.899 -0.511 5.361
```

Calculated values
energy relative to the elements, uncorrected = -2.220 eV per atom


Material: Cd2IrOs
Method: DFT, SCAN
State: PBEsol geometry

Geometry as extended XYZ:
```
4
Lattice="2.759 -0.006 0.000 -0.218 4.946 0.000 -1.271 -2.470 4.747" Properties=species:S:1:pos:R:3 pbc="T T T"
Ir 1.379 -0.003 0.000
Os -0.109 2.473 0.000
Cd -0.635 -1.235 2.373
Cd 0.635 1.235 2.373
```

Calculated values
ΔE to the lowest computed polymorph = 0.253 eV per atom


Material: Cd2IrOs
Method: DFT, SCAN
State: PBEsol geometry

Geometry as extended XYZ:
```
4
Lattice="-0.003 -0.257 2.801 -0.779 -2.427 1.189 8.800 -3.933 1.062" Properties=species:S:1:pos:R:3 pbc="T T T"
Ir 3.850 -3.255 2.531
Os 2.172 -1.710 1.258
Cd -0.633 -2.733 3.986
Cd 5.857 -4.910 3.794
```

Calculated values
ΔE to the lowest computed polymorph = 0.000 eV per atom


Material: CdPIr2
Method: DFT, SCAN
State: PBEsol geometry

Geometry as extended XYZ:
```
4
Lattice="2.908 0.000 0.000 -1.454 3.311 -0.026 0.000 -1.329 6.691" Properties=species:S:1:pos:R:3 pbc="T T T"
Cd 0.000 -0.664 3.345
Ir 1.454 0.593 5.453
Ir 0.000 1.389 1.212
P 1.454 0.000 0.000
```

Calculated values
DFT total energy = -45.8267 eV/atom


Material: CdPIr3
Method: DFT, SCAN
State: PBEsol geometry

Geometry as extended XYZ:
```
5
Lattice="-0.632 3.353 -2.743 -4.293 -0.854 -0.055 -0.577 2.682 3.411" Properties=species:S:1:pos:R:3 pbc="T T T"
P 0.000 0.000 0.000
Ir -2.146 -0.427 -0.028
Ir -0.289 1.341 1.706
Ir -0.316 1.676 -1.371
Cd -2.751 2.590 0.307
```

Calculated values
DFT total energy = -50.4017 eV/atom


Material: Cd2PIr
Method: DFT, SCAN
State: PBEsol geometry

Geometry as extended XYZ:
```
4
Lattice="2.922 0.000 0.000 0.000 2.922 0.000 0.000 0.000 8.256" Properties=species:S:1:pos:R:3 pbc="T T T"
Cd 0.000 0.000 8.201
Cd 1.461 1.461 2.300
Ir 0.000 0.000 4.443
P 1.461 1.461 5.697
```

Calculated values
DFT total energy = -35.6266 eV/atom


Material: Cd2PIr
Method: DFT, SCAN
State: PBEsol geometry

Geometry as extended XYZ:
```
4
Lattice="3.136 0.000 0.000 0.000 4.664 0.000 0.000 0.000 4.664" Properties=species:S:1:pos:R:3 pbc="T T T"
Cd 0.000 0.000 2.332
Cd 0.000 2.332 0.000
Ir 1.568 2.332 2.332
P 1.568 0.000 0.000
```

Calculated values
DFT total energy = -35.1103 eV/atom


Material: CdPIr
Method: DFT, SCAN
State: PBEsol geometry

Geometry as extended XYZ:
```
3
Lattice="2.901 0.000 0.000 0.000 2.901 0.000 -1.451 -1.451 5.863" Properties=species:S:1:pos:R:3 pbc="T T T"
Cd 1.451 1.451 5.759
Ir 0.000 0.000 3.621
P 1.451 1.451 2.345
```

Calculated values
DFT total energy = -37.3852 eV/atom


Material: ZnCdPIr2
Method: DFT, SCAN
State: PBEsol geometry

Geometry as extended XYZ:
```
5
Lattice="4.539 0.000 0.000 0.000 4.539 0.000 0.000 0.000 4.559" Properties=species:S:1:pos:R:3 pbc="T T T"
P 2.270 2.270 2.279
Zn 0.000 0.000 0.000
Ir 0.000 2.270 0.000
Ir 2.270 0.000 0.000
Cd 0.000 0.000 2.279
```

Calculated values
DFT total energy = -37.8649 eV/atom


Material: CdIrPb2
Method: DFT, SCAN
State: PBEsol geometry

Geometry as extended XYZ:
```
4
Lattice="-2.917 1.342 0.599 -1.470 -2.661 -1.196 0.012 -3.541 7.867" Properties=species:S:1:pos:R:3 pbc="T T T"
Cd -2.193 -0.659 -0.298
Ir -2.187 -2.430 3.635
Pb 0.004 -2.490 5.536
Pb -2.909 0.290 2.930
```

Calculated values
DFT total energy = -62.9962 eV/atom


Material: Cd2IrPb
Method: DFT, SCAN
State: PBEsol geometry

Geometry as extended XYZ:
```
4
Lattice="-1.626 -1.650 3.473 2.998 -2.903 0.025 1.864 4.933 0.707" Properties=species:S:1:pos:R:3 pbc="T T T"
Pb -0.813 -0.825 1.737
Ir 1.499 -1.452 0.012
Cd 1.962 -0.949 2.977
Cd 1.274 1.328 1.228
```

Calculated values
DFT total energy = -51.6409 eV/atom


Number 1: N(E_F) 4.4 states/eV per cell, M_tot 0.00 μB per cell. Number 2: N(E_F) 3.8 states/eV per cell, M_tot 0.00 μB per cell. Number 3: N(E_F) 4.4 states/eV per cell, M_tot 0.00 μB per cell. Number 4: N(E_F) 1.7 states/eV per cell, M_tot 0.00 μB per cell. Number 5: N(E_F) 2.4 states/eV per cell, M_tot 2.02 μB per cell. Number 6: N(E_F) 2.7 states/eV per cell, M_tot 0.00 μB per cell. Number 7: N(E_F) 3.1 states/eV per cell, M_tot 0.00 μB per cell. Number 8: N(E_F) 1.6 states/eV per cell, M_tot 0.00 μB per cell. Number 9: N(E_F) 1.5 states/eV per cell, M_tot 2.00 μB per cell. Number 10: N(E_F) 4.0 states/eV per cell, M_tot 1.71 μB per cell. Number 11: N(E_F) 2.0 states/eV per cell, M_tot 0.00 μB per cell. Number 12: N(E_F) 3.8 states/eV per cell, M_tot 0.01 μB per cell. Number 13: N(E_F) 2.0 states/eV per cell, M_tot 0.00 μB per cell. Number 14: N(E_F) 3.0 states/eV per cell, M_tot 0.00 μB per cell. Number 15: N(E_F) 3.4 states/eV per cell, M_tot 3.36 μB per cell. Number 16: N(E_F) 6.2 states/eV per cell, M_tot 1.57 μB per cell. Number 17: N(E_F) 3.5 states/eV per cell, M_tot 0.00 μB per cell. Number 18: N(E_F) 3.8 states/eV per cell, M_tot 0.00 μB per cell. Number 19: N(E_F) 6.5 states/eV per cell, M_tot 2.03 μB per cell. Number 20: N(E_F) 3.0 states/eV per cell, M_tot 0.00 μB per cell. Number 21: N(E_F) 2.3 states/eV per cell, M_tot 0.00 μB per cell. Number 22: N(E_F) 1.4 states/eV per cell, M_tot 0.00 μB per cell. Number 23: N(E_F) 1.3 states/eV per cell, M_tot 0.00 μB per cell. Number 24: N(E_F) 1.3 states/eV per cell, M_tot 0.00 μB per cell. Number 25: N(E_F) 1.7 states/eV per cell, M_tot 0.00 μB per cell. Number 26: N(E_F) 1.0 states/eV per cell, M_tot 0.00 μB per cell. Number 27: N(E_F) 3.1 states/eV per cell, M_tot 0.00 μB per cell. Number 28: N(E_F) 1.4 states/eV per cell, M_tot 0.23 μB per cell. Number 29: N(E_F) 1.2 states/eV per cell, M_tot 0.00 μB per cell.